Entry from Alexandria: a geometry-optimized TcSeF2 structure (PBE-GGA).

extended XYZ file:
```
8
Lattice="-3.8463 3.8463 2.3612 3.8463 -3.8463 2.3612 3.8463 3.8463 -2.3612" Properties=species:S:1:pos:R:3 pbc="T T T"
Tc 0.0000 0.0000 0.0000
Tc 0.0000 3.8463 1.1806
Se 3.8463 0.0000 1.1806
Se 0.0000 0.0000 2.3612
F 0.7384 1.9231 0.5903
F -1.9231 3.1078 1.7709
F -0.7384 5.7694 0.5903
F 1.9231 4.5847 1.7709
```

The volume comes out at 17.47 Å³/atom. The uncorrected formation energy is -73.02 kJ per mole of atoms. The magnetization is 0.000 μB per atom. For the total energy, the calculation gives -5.155 eV/atom.

=====

Entry from Alexandria: a geometry-optimized FeAgPCl2 structure (PBE-GGA).

extended XYZ file:
```
5
Lattice="4.9651 0.0000 0.0000 0.0000 4.9651 0.0000 0.0000 0.0000 4.9986" Properties=species:S:1:pos:R:3 pbc="T T T"
Fe 0.0000 0.0000 0.0000
Ag 2.4825 2.4825 2.4993
P 2.4825 2.4825 0.0000
Cl 0.0000 2.4825 2.4993
Cl 2.4825 0.0000 2.4993
```

The volume comes out at 24.64 Å³/atom. The uncorrected formation energy is 82.62 kJ per mole of atoms. The magnetization is 0.524 μB per atom. For the total energy, the calculation gives -3.227 eV/atom.

=====

Question: Look up the magnetization of the first one.
Answer: 0.000 μB per atom